(1)
This record from Alexandria via LeMat-Bulk describes a relaxed Tb5Ga5Ru2 crystal. The functional is PBE-GGA.

Cell and atoms, written as extended XYZ:
```
12
Lattice="-1.1000 -4.2172 0.3074 5.6189 -4.0067 -3.8103 3.1798 -2.5622 7.2778" Properties=species:S:1:pos:R:3 pbc="T T T"
Ga 3.1839 -7.2496 5.0856
Ga 0.0000 0.0000 0.0000
Ga 4.5147 -3.5365 -1.3106
Ga 6.1196 -5.9798 1.9621
Ga 1.5790 -4.8063 1.8128
Tb 6.0152 -8.0426 4.3380
Tb 1.6835 -2.7434 -0.5631
Tb 5.9191 -6.1512 -1.1064
Tb 1.7796 -4.6349 4.8813
Tb 4.3994 -3.2844 1.7337
Ru 3.2161 -5.3732 -0.1069
Ru 4.4825 -5.4128 3.8818
```

- ΔE_f (meV/atom) = -532
- magnetization (μB/atom) = 0.000

(2)
This record from Alexandria via LeMat-Bulk describes a relaxed Li2IrCl crystal. The functional is PBE-GGA.

Cell and atoms, written as extended XYZ:
```
4
Lattice="-2.9443 0.0036 -1.2022 -1.7495 -0.5609 4.2830 -0.1720 3.8390 0.4325" Properties=species:S:1:pos:R:3 pbc="T T T"
Cl -1.5581 1.9213 -0.3848
Li 0.0000 0.0000 0.0000
Li -2.3469 -0.2787 1.5404
Ir -0.9607 1.6390 2.3578
```

- E_form (uncorrected) (eV per atom) = -0.038
- magnetization (μB/atom) = 0.000

(3)
This record from Alexandria via LeMat-Bulk describes a relaxed RbTlSe2 crystal. The functional is PBE-GGA.

Cell and atoms, written as extended XYZ:
```
4
Lattice="-1.6398 0.6120 -3.8814 -1.7470 -3.2588 -2.1112 -8.2840 0.8212 1.2938" Properties=species:S:1:pos:R:3 pbc="T T T"
Tl -10.5324 -0.9456 -2.7056
Se -2.5250 -0.5499 -1.3553
Se -6.8892 0.4891 0.6522
Rb -5.8435 -0.9109 -2.3456
```

- E_form (uncorrected) (eV per atom) = -0.544
- magnetization (μB/atom) = 0.000

(4)
This record from Alexandria via LeMat-Bulk describes a relaxed BaTbPb4 crystal. The functional is PBE-GGA.

Cell and atoms, written as extended XYZ:
```
6
Lattice="6.5898 0.0000 0.0000 3.2949 5.7069 0.0000 3.2949 1.9023 5.3806" Properties=species:S:1:pos:R:3 pbc="T T T"
Pb 6.5898 3.8046 0.6869
Pb 6.5898 1.9159 3.3581
Pb 8.2255 4.7490 3.3581
Pb 4.9541 4.7490 3.3581
Ba 0.0000 0.0000 0.0000
Tb 3.2949 1.9023 1.3451
```

- ΔE_f (meV/atom) = -230
- magnetization (μB/atom) = 0.000